Compound: LiHgSO4
Source: Alexandria via LeMat-Bulk
Functional: GGA-PBE
Structure: relaxed

a = 5.318 Å, b = 7.631 Å, c = 7.631 Å
α = 48.30°, β = 69.61°, γ = 69.61°
Atoms (fractional coordinates):
Li 0.000 0.000 0.000
Li 0.000 0.500 0.500
Hg 0.500 0.000 0.500
Hg 0.000 0.000 0.500
S 0.586 0.664 0.164
S 0.414 0.336 0.836
O 0.652 0.794 0.901
O 0.348 0.599 0.706
O 0.652 0.401 0.294
O 0.348 0.206 0.099
O 0.287 0.728 0.228
O 0.757 0.728 0.228
O 0.243 0.272 0.772
O 0.713 0.272 0.772

Calculated values
Uncorrected formation energy ... -1.2305 eV per atom
Energy ... -4.970 eV per atom
Space-group type ... Imma, No. 74



Compound: LiHg2SbO4
Source: Alexandria via LeMat-Bulk
Functional: GGA-PBE
Structure: relaxed

a = 5.475 Å, b = 5.473 Å, c = 5.931 Å
α = 117.51°, β = 117.55°, γ = 89.98°
Atoms (fractional coordinates):
Li 0.986 0.486 0.972
Hg 0.486 0.986 0.972
Hg 0.236 0.236 0.472
Sb 0.736 0.736 0.472
O 0.697 0.647 0.735
O 0.824 0.433 0.208
O 0.384 0.775 0.208
O 0.039 0.088 0.736

Calculated values
Uncorrected formation energy ... -0.8926 eV per atom
Energy ... -4.202 eV per atom
Space-group type ... I-4, No. 82



Compound: Li2ScHgO
Source: Alexandria via LeMat-Bulk
Functional: GGA-PBE
Structure: relaxed

a = 4.326 Å, b = 4.326 Å, c = 4.126 Å
α = 90.00°, β = 90.00°, γ = 90.00°
Atoms (fractional coordinates):
Sc 0.000 0.000 0.500
Hg 0.500 0.500 0.500
O 0.000 0.000 0.000
Li 0.000 0.500 0.000
Li 0.500 0.000 0.000

Calculated values
Uncorrected formation energy ... -1.2610 eV per atom
Energy ... -4.345 eV per atom
Space-group type ... P4/mmm, No. 123



Compound: Li2HgSeO4
Source: Alexandria via LeMat-Bulk
Functional: GGA-PBE
Structure: relaxed

a = 7.046 Å, b = 7.046 Å, c = 6.084 Å
α = 119.23°, β = 119.23°, γ = 98.38°
Atoms (fractional coordinates):
Li 0.500 0.000 0.000
Li 0.500 0.000 0.500
Li 0.000 0.000 0.500
Li 0.500 0.500 0.000
Hg 0.000 0.500 0.000
Hg 0.000 0.500 0.500
Se 0.500 0.500 0.500
Se 0.000 0.000 0.000
O 0.219 0.831 0.003
O 0.669 0.281 0.497
O 0.331 0.719 0.503
O 0.781 0.169 0.997
O 0.771 0.774 0.016
O 0.726 0.729 0.484
O 0.274 0.271 0.516
O 0.229 0.226 0.984

Calculated values
Uncorrected formation energy ... -0.8865 eV per atom
Energy ... -4.317 eV per atom
Space-group type ... C2/c, No. 15



Compound: Li2SiHgO4
Source: Alexandria via LeMat-Bulk
Functional: GGA-PBE
Structure: relaxed

a = 4.746 Å, b = 4.746 Å, c = 5.338 Å
α = 116.39°, β = 116.39°, γ = 90.00°
Atoms (fractional coordinates):
Li 0.750 0.250 0.500
Li 0.250 0.750 0.500
Si 0.500 0.500 0.000
Hg 0.000 0.000 0.000
O 0.573 0.573 0.755
O 0.427 0.818 0.245
O 0.818 0.427 0.245
O 0.182 0.182 0.755

Calculated values
Uncorrected formation energy ... -1.9567 eV per atom
Energy ... -5.630 eV per atom
Space-group type ... I-42m, No. 121



Compound: LiSiHg2O4
Source: Alexandria via LeMat-Bulk
Functional: GGA-PBE
Structure: relaxed

a = 5.529 Å, b = 6.287 Å, c = 6.456 Å
α = 90.00°, β = 90.00°, γ = 90.00°
Atoms (fractional coordinates):
Li 0.001 0.132 0.500
Li 0.501 0.868 0.000
Si 0.502 0.847 0.500
Si 0.002 0.153 0.000
Hg 0.496 0.345 0.257
Hg 0.496 0.345 0.743
Hg 0.996 0.655 0.757
Hg 0.996 0.655 0.243
O 0.301 0.131 0.000
O 0.801 0.869 0.500
O 0.362 0.080 0.500
O 0.862 0.920 0.000
O 0.420 0.721 0.717
O 0.920 0.279 0.217
O 0.920 0.279 0.783
O 0.420 0.721 0.283

Calculated values
Uncorrected formation energy ... -1.4616 eV per atom
Energy ... -4.933 eV per atom
Space-group type ... Pmn2_1, No. 31



Compound: LiSm2HgO
Source: Alexandria via LeMat-Bulk
Functional: GGA-PBE
Structure: relaxed

a = 4.155 Å, b = 4.952 Å, c = 4.952 Å
α = 90.00°, β = 90.00°, γ = 90.00°
Atoms (fractional coordinates):
Li 0.500 0.000 0.000
Sm 0.000 0.000 0.500
Sm 0.000 0.500 0.000
Hg 0.500 0.500 0.500
O 0.000 0.000 0.000

Calculated values
Uncorrected formation energy ... -1.3327 eV per atom
Energy ... -4.655 eV per atom
Space-group type ... P4/mmm, No. 123



Compound: LiSnHg2O
Source: Alexandria via LeMat-Bulk
Functional: GGA-PBE
Structure: relaxed

a = 5.601 Å, b = 4.195 Å, c = 5.601 Å
α = 90.00°, β = 90.00°, γ = 90.00°
Atoms (fractional coordinates):
Li 0.500 0.500 0.500
Hg 0.000 0.000 0.500
Hg 0.500 0.000 0.000
O 0.000 0.000 0.000
Sn 0.000 0.500 0.000

Calculated values
Uncorrected formation energy ... -0.0841 eV per atom
Energy ... -2.380 eV per atom
Space-group type ... P4/mmm, No. 123



Compound: SrLiHgO2
Source: Alexandria via LeMat-Bulk
Functional: GGA-PBE
Structure: relaxed

a = 5.112 Å, b = 5.901 Å, c = 6.060 Å
α = 97.56°, β = 90.00°, γ = 90.00°
Atoms (fractional coordinates):
Sr 0.336 0.500 0.750
Sr 0.664 0.500 0.250
Li 0.482 0.000 0.250
Li 0.518 0.000 0.750
Hg 0.000 0.000 0.000
Hg 0.000 0.000 0.500
O 0.622 0.765 0.971
O 0.622 0.235 0.529
O 0.378 0.765 0.471
O 0.378 0.235 0.029

Calculated values
Uncorrected formation energy ... -1.4114 eV per atom
Energy ... -4.174 eV per atom
Space-group type ... P2/c, No. 13



Compound: Sr2LiHgO
Source: Alexandria via LeMat-Bulk
Functional: GGA-PBE
Structure: relaxed

a = 5.327 Å, b = 5.327 Å, c = 4.155 Å
α = 90.00°, β = 90.00°, γ = 90.00°
Atoms (fractional coordinates):
Sr 0.000 0.500 0.000
Sr 0.500 0.000 0.000
Hg 0.500 0.500 0.500
O 0.000 0.000 0.000
Li 0.000 0.000 0.500

Calculated values
Uncorrected formation energy ... -1.2079 eV per atom
Energy ... -3.315 eV per atom
Space-group type ... P4/mmm, No. 123



Compound: LiTb2HgO
Source: Alexandria via LeMat-Bulk
Functional: GGA-PBE
Structure: relaxed

a = 4.105 Å, b = 4.855 Å, c = 4.855 Å
α = 90.00°, β = 90.00°, γ = 90.00°
Atoms (fractional coordinates):
Li 0.500 0.000 0.000
Tb 0.000 0.000 0.500
Tb 0.000 0.500 0.000
Hg 0.500 0.500 0.500
O 0.000 0.000 0.000

Calculated values
Uncorrected formation energy ... -1.3697 eV per atom
Energy ... -4.657 eV per atom
Space-group type ... P4/mmm, No. 123